Entry 1:
This record from the Alexandria database describes Cd2NiAs after structural relaxation. The functional is PBE.

```
data_Cd2NiAs
_chemical_formula_sum 'Cd8 Ni4 As4'
_space_group_name_H-M_alt 'F -4 3 m'
_space_group_IT_number 216
_space_group_name_Hall 'F -4 2 3'
_cell_length_a 6.648
_cell_length_b 6.648
_cell_length_c 6.648
_cell_angle_alpha 90.00
_cell_angle_beta 90.00
_cell_angle_gamma 90.00
loop_
_atom_site_label
_atom_site_type_symbol
_atom_site_fract_x
_atom_site_fract_y
_atom_site_fract_z
_atom_site_occupancy
Cd1 Cd 0.000 0.000 0.000 1
Cd2 Cd 0.250 0.250 0.250 1
Ni1 Ni 0.250 0.250 0.750 1
As1 As 0.000 0.000 0.500 1
```

Calculated values
Volume = 18.36 A^3/atom
Calculated density = 8.103 Mg/m³
DFT formation energy = 25 kJ per mole of atoms
Calculated total energy = -2.808 eV per atom


Entry 2:
This record from the Alexandria database describes CdNiAs2 after structural relaxation. The functional is PBE.

```
data_CdNiAs2
_chemical_formula_sum 'Cd2 Ni2 As4'
_space_group_name_H-M_alt 'C 1 m 1'
_space_group_IT_number 8
_cell_length_a 8.298
_cell_length_b 3.056
_cell_length_c 6.317
_cell_angle_alpha 90.00
_cell_angle_beta 106.93
_cell_angle_gamma 90.00
loop_
_space_group_symop_operation_xyz
'x,y,z'
'x,-y,z'
'x+1/2,y+1/2,z'
'x+1/2,-y+1/2,z'
loop_
_atom_site_label
_atom_site_type_symbol
_atom_site_fract_x
_atom_site_fract_y
_atom_site_fract_z
_atom_site_occupancy
Cd1 Cd 0.000 0.000 0.000 1
Ni1 Ni 0.392 0.000 0.604 1
As1 As 0.181 0.500 0.635 1
As2 As 0.283 0.500 0.280 1
```

Calculated values
Volume = 19.15 A^3/atom
Calculated density = 6.956 Mg/m³
DFT formation energy = -1 kJ per mole of atoms
Calculated total energy = -4.008 eV per atom


Entry 3:
This record from the Alexandria database describes Cd2NiAs after structural relaxation. The functional is PBE.

```
data_Cd2NiAs
_chemical_formula_sum 'Cd8 Ni4 As4'
_space_group_name_H-M_alt 'I -4 2 d'
_space_group_IT_number 122
_space_group_name_Hall 'I -4 2bw'
_cell_length_a 3.993
_cell_length_b 3.993
_cell_length_c 19.430
_cell_angle_alpha 90.00
_cell_angle_beta 90.00
_cell_angle_gamma 90.00
loop_
_atom_site_label
_atom_site_type_symbol
_atom_site_fract_x
_atom_site_fract_y
_atom_site_fract_z
_atom_site_occupancy
Cd1 Cd 0.239 0.250 0.125 1
Ni1 Ni 0.000 0.000 0.000 1
As1 As 0.000 0.000 0.500 1
```

Calculated values
Volume = 19.36 A^3/atom
Calculated density = 7.684 Mg/m³
DFT formation energy = 27 kJ per mole of atoms
Calculated total energy = -2.786 eV per atom


Entry 4:
This record from the Alexandria database describes Cd2NiAs2 after structural relaxation. The functional is PBE.

```
data_Cd2NiAs2
_chemical_formula_sum 'Cd4 Ni2 As4'
_space_group_name_H-M_alt 'P 4/m b m'
_space_group_IT_number 127
_space_group_name_Hall '-P 4 2ab'
_cell_length_a 6.098
_cell_length_b 6.098
_cell_length_c 5.351
_cell_angle_alpha 90.00
_cell_angle_beta 90.00
_cell_angle_gamma 90.00
loop_
_atom_site_label
_atom_site_type_symbol
_atom_site_fract_x
_atom_site_fract_y
_atom_site_fract_z
_atom_site_occupancy
Cd1 Cd 0.192 0.308 0.000 1
Ni1 Ni 0.000 0.000 0.500 1
As1 As 0.148 0.648 0.500 1
```

Calculated values
Volume = 19.90 A^3/atom
Calculated density = 7.233 Mg/m³
DFT formation energy = 2 kJ per mole of atoms
Calculated total energy = -3.364 eV per atom


Entry 5:
This record from the Alexandria database describes CdNiAs2 after structural relaxation. The functional is PBE.

```
data_CdNiAs2
_chemical_formula_sum 'Cd2 Ni2 As4'
_space_group_name_H-M_alt 'C 1 2/m 1'
_space_group_IT_number 12
_cell_length_a 6.397
_cell_length_b 3.715
_cell_length_c 6.804
_cell_angle_alpha 90.00
_cell_angle_beta 108.47
_cell_angle_gamma 90.00
loop_
_space_group_symop_operation_xyz
'x,y,z'
'-x,-y,-z'
'-x,y,-z'
'x,-y,z'
'x+1/2,y+1/2,z'
'-x+1/2,-y+1/2,-z'
'-x+1/2,y+1/2,-z'
'x+1/2,-y+1/2,z'
loop_
_atom_site_label
_atom_site_type_symbol
_atom_site_fract_x
_atom_site_fract_y
_atom_site_fract_z
_atom_site_occupancy
Cd1 Cd 0.000 0.000 0.000 1
Ni1 Ni 0.000 0.500 0.500 1
As1 As 0.224 0.000 0.671 1
```

Calculated values
Volume = 19.17 A^3/atom
Calculated density = 6.950 Mg/m³
DFT formation energy = -8 kJ per mole of atoms
Calculated total energy = -4.077 eV per atom


Entry 6:
This record from the Alexandria database describes Cd2NiAs after structural relaxation. The functional is PBE.

```
data_Cd2NiAs
_chemical_formula_sum 'Cd6 Ni3 As3'
_space_group_name_H-M_alt 'R -3 m'
_space_group_IT_number 166
_space_group_name_Hall '-R 3 2"'
_cell_length_a 3.1044
_cell_length_b 3.1044
_cell_length_c 26.6920
_cell_angle_alpha 90.00
_cell_angle_beta 90.00
_cell_angle_gamma 120.00
loop_
_atom_site_label
_atom_site_type_symbol
_atom_site_fract_x
_atom_site_fract_y
_atom_site_fract_z
_atom_site_occupancy
Cd1 Cd 0.0000 0.0000 0.2412 1
Ni1 Ni 0.0000 0.0000 0.5000 1
As1 As 0.0000 0.0000 0.0000 1
```

Calculated values
Volume = 18.57 A^3/atom
Calculated density = 8.015 Mg/m³
DFT formation energy = 21 kJ per mole of atoms
Calculated total energy = -2.847 eV per atom